Run A
Compound: TiCS2Cl
Source: Alexandria
Functional: GGA-PBE
Structure: relaxed

symmetry: P4/mmm (123)
DOS(E_F): 0.89 states/eV per atom

Geometry as extended XYZ:
```
5
Lattice="4.705 0.000 0.000 0.000 4.705 0.000 0.000 0.000 4.745" Properties=species:S:1:pos:R:3 pbc="T T T"
Ti 0.000 0.000 0.000
C 2.352 2.352 2.373
S 0.000 2.352 0.000
S 2.352 0.000 0.000
Cl 0.000 0.000 2.373
```

Run B
Compound: TiCS2Cl
Source: Alexandria
Functional: GGA-PBE
Structure: relaxed

symmetry: P4/mmm (123)
DOS(E_F): 0.99 states/eV per atom

Geometry as extended XYZ:
```
5
Lattice="4.127 0.000 0.000 0.000 4.127 0.000 0.000 0.000 4.291" Properties=species:S:1:pos:R:3 pbc="T T T"
Ti 0.000 0.000 0.000
C 2.063 2.063 2.145
S 0.000 2.063 2.145
S 2.063 0.000 2.145
Cl 2.063 2.063 0.000
```

Most stable of them? run B.

Run A
Compound: TlCS2Cl
Source: Alexandria
Functional: GGA-PBE
Structure: relaxed

symmetry: P4/mmm (123)
DOS(E_F): 1.07 states/eV per atom

Geometry as extended XYZ:
```
5
Lattice="5.170 0.000 0.000 0.000 5.170 0.000 0.000 0.000 5.153" Properties=species:S:1:pos:R:3 pbc="T T T"
Tl 0.000 0.000 0.000
C 2.585 2.585 2.576
S 0.000 2.585 0.000
S 2.585 0.000 0.000
Cl 0.000 0.000 2.576
```

Run B
Compound: TlCS2Cl
Source: Alexandria
Functional: GGA-PBE
Structure: relaxed

symmetry: P4/mmm (123)
DOS(E_F): 0.50 states/eV per atom

Geometry as extended XYZ:
```
5
Lattice="4.052 0.000 0.000 0.000 4.052 0.000 0.000 0.000 7.123" Properties=species:S:1:pos:R:3 pbc="T T T"
Tl 0.000 0.000 0.000
C 0.000 0.000 3.561
S 0.000 2.026 3.561
S 2.026 0.000 3.561
Cl 2.026 2.026 0.000
```

Most stable of them? run B.

Run A
Compound: VCS2Cl
Source: Alexandria
Functional: GGA-PBE
Structure: relaxed

symmetry: P4/mmm (123)
DOS(E_F): 0.87 states/eV per atom

Geometry as extended XYZ:
```
5
Lattice="4.553 0.000 0.000 0.000 4.553 0.000 0.000 0.000 4.724" Properties=species:S:1:pos:R:3 pbc="T T T"
V 0.000 0.000 0.000
C 2.276 2.276 2.362
S 0.000 2.276 0.000
S 2.276 0.000 0.000
Cl 0.000 0.000 2.362
```

Run B
Compound: VCS2Cl
Source: Alexandria
Functional: GGA-PBE
Structure: relaxed

symmetry: P4/mmm (123)
DOS(E_F): 1.34 states/eV per atom

Geometry as extended XYZ:
```
5
Lattice="4.082 0.000 0.000 0.000 4.082 0.000 0.000 0.000 4.229" Properties=species:S:1:pos:R:3 pbc="T T T"
V 0.000 0.000 0.000
C 2.041 2.041 2.115
S 0.000 2.041 2.115
S 2.041 0.000 2.115
Cl 2.041 2.041 0.000
```

Most stable of them? run A.

Run A
Compound: VCSCl2
Source: Alexandria
Functional: GGA-PBE
Structure: relaxed

symmetry: P4/mmm (123)
DOS(E_F): 0.74 states/eV per atom

Geometry as extended XYZ:
```
5
Lattice="4.741 0.000 0.000 0.000 4.741 0.000 0.000 0.000 4.574" Properties=species:S:1:pos:R:3 pbc="T T T"
V 0.000 0.000 0.000
C 2.371 2.371 2.287
S 0.000 0.000 2.287
Cl 0.000 2.371 0.000
Cl 2.371 0.000 0.000
```

Run B
Compound: VCSCl2
Source: Alexandria
Functional: GGA-PBE
Structure: relaxed

symmetry: P4/mmm (123)
DOS(E_F): 1.14 states/eV per atom

Geometry as extended XYZ:
```
5
Lattice="4.328 0.000 0.000 0.000 4.328 0.000 0.000 0.000 4.146" Properties=species:S:1:pos:R:3 pbc="T T T"
V 0.000 0.000 0.000
C 2.164 2.164 2.073
S 2.164 2.164 0.000
Cl 0.000 2.164 2.073
Cl 2.164 0.000 2.073
```

Most stable of them? run A.